# CaBSe2Br | the Alexandria database | PBE | relaxed
data_CaBSe2Br
_chemical_formula_sum 'Ca1 B1 Se2 Br1'
_space_group_name_H-M_alt 'P 4/m m m'
_space_group_IT_number 123
_space_group_name_Hall '-P 4 2'
_cell_length_a 4.5033
_cell_length_b 4.5033
_cell_length_c 5.2998
_cell_angle_alpha 90.00
_cell_angle_beta 90.00
_cell_angle_gamma 90.00
loop_
_atom_site_label
_atom_site_fract_x
_atom_site_fract_y
_atom_site_fract_z
Ca1 0.0000 0.0000 0.0000
B1 0.5000 0.5000 0.5000
Se1 0.0000 0.5000 0.5000
Br1 0.5000 0.5000 0.0000
# Polymorph energy (0 for the lowest one)   0 meV per atom
# Uncorrected energy   -18.782 eV/cell
# V   107.5 Å³/f.u.